The following is a PBE with a Hubbard U calculation of a geometry-optimized PrNpMoO6 structure, from Alexandria.

As for the space group: P-31c, No. 163. For the total DFT energy (no corrections), the calculation gives -77.18 eV per formula unit. The calculation puts the total magnetic moment at 8.000 μB/cell. Its mass density is 7.34 g/cm³.

```
18
Lattice="5.8286 0.0000 0.0000 -2.9143 5.0477 0.0000 0.0000 0.0000 8.7695" Properties=species:S:1:pos:R:3 pbc="T T T"
Pr 0.0000 3.3651 2.1924
Pr 2.9143 1.6826 6.5772
Np 0.0000 3.3651 6.5772
Np 2.9143 1.6826 2.1924
Mo 0.0000 0.0000 0.0000
Mo 0.0000 0.0000 4.3848
O -0.7723 1.7656 5.4751
O -1.7714 3.4961 7.6792
O 0.7723 1.7656 7.6792
O -0.9991 4.8338 5.4751
O 1.9152 0.2139 1.0903
O 1.1429 1.5516 3.2945
O 1.7714 3.4961 5.4751
O 0.9991 4.8338 7.6792
O 3.9134 0.2139 3.2945
O 2.1420 3.2821 1.0903
O 4.6857 1.5516 1.0903
O 3.6866 3.2821 3.2945
```